This record from the Alexandria database describes a relaxed CoBrNO2 crystal. The functional is PBE+U.

Lattice parameters (Å, degrees): 3.4938 3.4938 5.2537 90.00 90.00 90.00
Sites, in units of the cell vectors:
Co: 0.0000 0.0000 0.0000
O: 0.0000 0.5000 0.0000
O: 0.5000 0.0000 0.0000
Br: 0.5000 0.5000 0.5000
N: 0.0000 0.0000 0.5000

Calculated values
VASP energy ... -21.045 eV/cell
Spin magnetization ... 3.91 Bohr magnetons per cell
Density ... 4.79 g/cm³